No. 1
The following is a DFT calculation (PBE) of a relaxed Mn2CuTcN crystal.

Unit cell a=3.9134 b=3.9134 c=3.9894 alpha=90.00 beta=90.00 gamma=90.00
With the nearest neighbours (Å) after each atom.
Space group P4/mmm (No. 123)
Symmetry-distinct sites (fractional):
Mn: 0.0000 0.5000 0.0000  2 N 1.96
Cu: 0.0000 0.0000 0.5000  4 Tc 2.77, 8 Mn 2.79
Tc: 0.5000 0.5000 0.5000  2 N 1.99
N: 0.5000 0.5000 0.0000  4 Mn 1.96, 2 Tc 1.99

The calculation puts the total energy at -41.3 eV for the cell shown. The density of states at the Fermi level comes out at 0.742 states/eV per atom. As for the uncorrected formation energy: -0.595 kcal/mol of atoms.

---

No. 2
The following is a DFT calculation (PBE) of a relaxed AsPtW crystal.

Unit cell a=5.9348 b=5.9348 c=5.9348 alpha=90.00 beta=90.00 gamma=90.00
With the nearest neighbours (Å) after each atom.
Space group F-43m (No. 216)
Symmetry-distinct sites (fractional):
As: 0.0000 0.0000 0.0000  4 W 2.57, 4 Pt 2.57
Pt: 0.2500 0.2500 0.2500  4 As 2.57
W: 0.2500 0.2500 0.7500  4 As 2.57

The calculation puts the total energy at -90.7 eV for the cell shown. The density of states at the Fermi level comes out at 0.528 states/eV per atom. As for the formation energy: 324.0 meV/atom.

---

No. 3
The following is a DFT calculation (PBE) of a relaxed ZnSiOs crystal.

Unit cell a=4.0483 b=4.0483 c=3.1083 alpha=90.00 beta=90.00 gamma=120.00
With the nearest neighbours (Å) after each atom.
Space group P-6m2 (No. 187)
Symmetry-distinct sites (fractional):
Zn: 0.0000 0.0000 0.0000  6 Os 2.81, 6 Si 2.81, 2 Zn 3.11
Si: 0.3333 0.6667 0.5000  3 Os 2.34
Os: 0.6667 0.3333 0.5000  3 Si 2.34

The calculation puts the total energy at -17.9 eV for the cell shown. The density of states at the Fermi level comes out at 0.383 states/eV per atom. As for the uncorrected formation energy: -0.016 kcal/mol of atoms.